# 1
Compound: B7C5
Source: the Alexandria database
Functional: PBE-GGA
Structure: relaxed

energy relative to the elements	0.456	eV per atom

Cell: 2.5307 5.0463 6.4336 Å, 95.39 90.00 90.00°
Fractional positions:
C 0.5000 0.1493 0.9189
C 0.0000 0.0185 0.0072
C 0.5000 0.8298 0.5755
C 0.5000 0.1096 0.6793
C 0.5000 0.8530 0.3456
B 0.5000 0.4644 0.9641
B 0.0000 0.3851 0.3521
B 0.0000 0.7021 0.9481
B 0.0000 0.0296 0.2717
B 0.0000 0.6333 0.6225
B 0.5000 0.5698 0.2354
B 0.0000 0.2555 0.5797

---

# 2
Compound: BC
Source: the Alexandria database
Functional: PBE-GGA
Structure: relaxed

energy relative to the elements	0.405	eV per atom

Cell: 2.4931 4.1486 7.8451 Å, 90.00 90.00 90.00°
Fractional positions:
C 0.0000 0.9952 0.6667
C 0.0000 0.2645 0.1667
C 0.5000 0.7796 0.6667
C 0.0000 0.2320 0.5096
C 0.5000 0.4670 0.1667
C 0.0000 0.2320 0.8237
B 0.5000 0.4808 0.5270
B 0.5000 0.7379 0.3115
B 0.5000 0.4808 0.8064
B 0.5000 0.7379 0.0219
B 0.0000 0.0462 0.3370
B 0.0000 0.0462 0.9963

---

# 3
Compound: B3C5
Source: the Alexandria database
Functional: PBE-GGA
Structure: relaxed

energy relative to the elements	0.371	eV per atom

Cell: 2.5097 2.5097 8.1497 Å, 90.00 90.00 90.00°
Fractional positions:
C 0.5000 0.0000 0.3698
C 0.0000 0.5000 0.6302
C 0.0000 0.0000 0.0000
C 0.0000 0.5000 0.1089
C 0.5000 0.0000 0.8911
B 0.5000 0.5000 0.7571
B 0.0000 0.0000 0.5000
B 0.5000 0.5000 0.2429

---

# 4
Compound: BC
Source: the Alexandria database
Functional: PBE-GGA
Structure: relaxed

energy relative to the elements	0.295	eV per atom

Cell: 2.6474 2.6474 14.9429 Å, 90.00 90.00 120.00°
Fractional positions:
B 0.3333 0.6667 0.4799
B 0.6667 0.3333 0.8586
B 0.3333 0.6667 0.1480
B 0.3333 0.6667 0.7370
B 0.6667 0.3333 0.2968
B 0.0000 0.0000 0.3668
C 0.3333 0.6667 0.0409
C 0.0000 0.0000 0.9043
C 0.6667 0.3333 0.7475
C 0.0000 0.0000 0.0041
C 0.6667 0.3333 0.1948
C 0.0000 0.0000 0.4714

---

no.,ΔE to the lowest computed polymorph (eV per atom)
1,0.292
2,0.254
3,0.097
4,0.144